VSbPb2O5 (GGA+U, optimized geometry); theoretical density = 7.419 g cm⁻³; spin magnetization = 3.995 Bohr magnetons per cell; electronic total energy = -110.12 eV per cell
1.0
1.706 -8.046 0.000
1.706 8.046 0.000
0.000 0.000 10.877
V Sb Pb O
2 2 4 10
direct
0.206 0.794 0.500
0.794 0.206 0.000
0.463 0.537 0.953
0.537 0.463 0.453
0.121 0.879 0.770
0.138 0.862 0.126
0.862 0.138 0.626
0.879 0.121 0.270
0.085 0.915 0.551
0.279 0.721 0.118
0.328 0.672 0.477
0.343 0.657 0.892
0.489 0.511 0.277
0.511 0.489 0.777
0.657 0.343 0.392
0.672 0.328 0.977
0.721 0.279 0.618
0.915 0.085 0.051